(1)
# Li2In2Au3

A geometry-optimized Li2In2Au3 structure (GGA-PBE, Alexandria).

The structure in CIF format:
```
data_Li2In2Au3
_chemical_formula_sum 'Li2 In2 Au3'
_cell_length_a 4.714
_cell_length_b 4.717
_cell_length_c 7.277
_cell_angle_alpha 90.23
_cell_angle_beta 108.68
_cell_angle_gamma 119.62
_symmetry_space_group_name_H-M 'P 1'
_symmetry_Int_Tables_number 1
_symmetry_space_group_name_Hall 'P 1'
loop_
_atom_site_label
_atom_site_fract_x
_atom_site_fract_y
_atom_site_fract_z
Li1 0.228 0.364 0.092
Li2 0.772 0.636 0.908
In1 0.341 0.921 0.759
In2 0.659 0.079 0.241
Au1 0.037 0.766 0.305
Au2 0.500 0.500 0.500
Au3 0.963 0.234 0.695
```

Properties
- calculated formation energy (eV/atom) = -0.352
- volume (Å³/atom) = 18.660
- Fermi-level density of states (states/eV/f.u.) = 2.9
- distance to the lowest polymorph of the same formula (meV per atom) = 40

(2)
# LiIn3Au

A geometry-optimized LiIn3Au structure (GGA-PBE, Alexandria).

The structure in CIF format:
```
data_LiIn3Au
_chemical_formula_sum 'Li1 In3 Au1'
_cell_length_a 5.403
_cell_length_b 5.403
_cell_length_c 5.403
_cell_angle_alpha 90.00
_cell_angle_beta 90.00
_cell_angle_gamma 90.00
_symmetry_space_group_name_H-M 'P 1'
_symmetry_Int_Tables_number 1
_symmetry_space_group_name_Hall 'P 1'
loop_
_atom_site_label
_atom_site_fract_x
_atom_site_fract_y
_atom_site_fract_z
Li1 0.000 0.000 0.000
In1 0.000 0.500 0.500
In2 0.500 0.000 0.500
In3 0.500 0.500 0.000
Au1 0.500 0.500 0.500
```

Properties
- calculated formation energy (eV/atom) = 0.116
- volume (Å³/atom) = 31.544
- Fermi-level density of states (states/eV/f.u.) = 4.3
- distance to the lowest polymorph of the same formula (meV per atom) = 371